1.
A plane-wave DFT calculation with PBE was carried out for Y2Ho2In after structural relaxation.

Unit cell a=8.125 b=8.125 c=4.690 alpha=90.00 beta=90.00 gamma=90.00
Space group P4/mbm (No. 127)
Asymmetric unit:
Y1 0.153 0.347 0.000 (multiplicity 4)
Ho1 0.147 0.647 0.500 (multiplicity 4)
In1 0.000 0.000 0.500 (multiplicity 2)

Calculated values
* M_tot: 0.0 μB per cell
* energy above the most stable polymorph in this dataset: 0.1958 eV/atom
* DFT formation energy: 0.01 eV/atom

---

2.
A plane-wave DFT calculation with PBE was carried out for YHoIn6 after structural relaxation.

Unit cell a=4.636 b=4.636 c=9.274 alpha=90.00 beta=90.00 gamma=90.00
Space group P4/mmm (No. 123)
Asymmetric unit:
Y1 0.000 0.000 0.000 (multiplicity 1)
Ho1 0.000 0.000 0.500 (multiplicity 1)
In1 0.000 0.500 0.251 (multiplicity 4)
In2 0.500 0.500 0.000 (multiplicity 1)
In3 0.500 0.500 0.500 (multiplicity 1)

Calculated values
* M_tot: 0.0 μB per cell
* DFT formation energy: -0.41 eV/atom

---

3.
A plane-wave DFT calculation with PBE was carried out for Y4HoIn after structural relaxation.

Unit cell a=3.583 b=3.583 c=14.248 alpha=90.00 beta=90.00 gamma=90.00
Space group P4/mmm (No. 123)
Asymmetric unit:
Y1 0.000 0.000 0.146 (multiplicity 2)
Y2 0.500 0.500 0.326 (multiplicity 2)
Ho1 0.000 0.000 0.500 (multiplicity 1)
In1 0.500 0.500 0.000 (multiplicity 1)

Calculated values
* M_tot: 0.0 μB per cell
* energy above the most stable polymorph in this dataset: 0.0000 eV/atom
* DFT formation energy: -0.16 eV/atom

---

4.
A plane-wave DFT calculation with PBE was carried out for YHo6In after structural relaxation.

Unit cell a=6.577 b=11.332 c=6.499 alpha=90.00 beta=90.08 gamma=90.00
Space group C2/m (No. 12)
Asymmetric unit:
Y1 0.000 0.000 0.000 (multiplicity 2)
Ho1 0.068 0.500 0.252 (multiplicity 4)
Ho2 0.221 0.217 0.252 (multiplicity 8)
In1 0.000 0.000 0.500 (multiplicity 2)

Calculated values
* M_tot: 0.0 μB per cell
* energy above the most stable polymorph in this dataset: 0.1577 eV/atom
* DFT formation energy: 0.04 eV/atom